Record 1
VASP calculation (GGA-PBE) on an optimized crystal structure of LaSm7Tl2.

Fermi-level density of states: 2.123 states/eV per atom

abc: 9.2979 15.6844 5.5612
angles: 90.00 90.00 90.00
Space group Cmmm (No. 65)
One atom of each set of equivalent atoms:
La  0.0000  0.0000  0.0000 x2
Sm  0.0000  0.2311  0.0000 x4
Sm  0.0000  0.5000  0.5000 x2
Sm  0.1809  0.1217  0.5000 x8
Tl  0.0000  0.3050  0.5000 x4

***

Record 2
VASP calculation (GGA-PBE) on an optimized crystal structure of LaSm6Tl5.

Fermi-level density of states: 1.111 states/eV per atom

abc: 5.1346 8.9572 15.5356
angles: 90.00 90.00 90.00
Space group Immm (No. 71)
One atom of each set of equivalent atoms:
La  0.0000  0.0000  0.0000 x2
Sm  0.0000  0.2254  0.5000 x4
Sm  0.0000  0.2649  0.1715 x8
Tl  0.0000  0.0000  0.3212 x4
Tl  0.0000  0.5000  0.0000 x2
Tl  0.0000  0.5000  0.3491 x4

***

Record 3
VASP calculation (GGA-PBE) on an optimized crystal structure of La3SmTl.

Fermi-level density of states: 1.121 states/eV per atom

abc: 6.0071 18.6026 5.9690
angles: 90.00 90.00 90.00
Space group Cmcm (No. 63)
One atom of each set of equivalent atoms:
La  0.0000  0.0574  0.2500 x4
La  0.0000  0.2489  0.2500 x4
La  0.0000  0.4424  0.2500 x4
Sm  0.0000  0.3521  0.7500 x4
Tl  0.0000  0.1521  0.7500 x4

***

Record 4
VASP calculation (GGA-PBE) on an optimized crystal structure of La12Sm3Tl5.

Fermi-level density of states: 1.877 states/eV per atom

abc: 19.0209 19.0209 19.0209
angles: 90.00 90.00 90.00
Space group Ia-3d (No. 230)
One atom of each set of equivalent atoms:
La  0.0211  0.0763  0.6471 x96
Sm  0.0000  0.2500  0.1250 x24
Tl  0.0000  0.0000  0.0000 x16
Tl  0.0000  0.2500  0.3750 x24

***

Number 1: total DFT energy (no corrections) -78.65 eV per cell, total magnetization 0.0 μB per formula unit, mass density 6.55 g cm⁻³. Number 2: total DFT energy (no corrections) -97.23 eV per cell, total magnetization 0.0 μB per formula unit, mass density 9.59 g cm⁻³. Number 3: total DFT energy (no corrections) -89.58 eV per cell, total magnetization 0.0 μB per formula unit, mass density 7.68 g cm⁻³. Number 4: total DFT energy (no corrections) -617.47 eV per cell, total magnetization 2.5 μB per formula unit, mass density 6.06 g cm⁻³.